# SrCuMo2W

SrCuMo2W after structural relaxation (PBE, Alexandria via LeMat-Bulk).

The calculation puts the energy of formation from the pure elements at 8.5 eV per formula unit. As for the symmetry: P4/mmm, No. 123. The calculation puts the volume at 21.152 A^3/atom.

```
SrCuMo2W
1.0
4.754 0.000 0.000
0.000 4.754 0.000
0.000 0.000 4.679
Sr Cu Mo W
1 1 2 1
Direct
0.000 0.000 0.000
0.500 0.500 0.500
0.000 0.500 0.500
0.500 0.000 0.500
0.500 0.500 0.000
```

=====

# Th2Co4As3Au

Th2Co4As3Au after structural relaxation (PBE, Alexandria via LeMat-Bulk).

The calculation puts the energy of formation from the pure elements at -6.3 eV per formula unit. As for the symmetry: P-4m2, No. 115. The calculation puts the volume at 16.927 A^3/atom.

```
Th2Co4As3Au
1.0
4.153 0.000 0.000
0.000 4.153 0.000
0.000 0.000 9.814
Th Co As Au
2 4 3 1
Direct
0.000 0.500 0.240
0.500 0.000 0.760
0.000 0.000 0.000
0.000 0.500 0.637
0.500 0.000 0.363
0.500 0.500 0.000
0.000 0.500 0.873
0.500 0.000 0.127
0.500 0.500 0.500
0.000 0.000 0.500
```

=====

# LaTh2MoN4

LaTh2MoN4 after structural relaxation (PBE, Alexandria via LeMat-Bulk).

As for the symmetry: Cmcm, No. 63. The uncorrected formation energy comes out at -1106 meV per atom. The calculation puts the volume at 16.532 A^3/atom.

```
LaTh2MoN4
1.0
1.782 -6.139 0.000
1.782 6.139 0.000
0.000 0.000 12.092
La Th Mo N
2 4 2 8
Direct
0.118 0.882 0.750
0.882 0.118 0.250
0.367 0.633 0.546
0.367 0.633 0.954
0.633 0.367 0.046
0.633 0.367 0.454
0.147 0.853 0.250
0.853 0.147 0.750
0.000 0.000 0.000
0.000 0.000 0.500
0.269 0.731 0.128
0.269 0.731 0.372
0.442 0.558 0.750
0.558 0.442 0.250
0.731 0.269 0.628
0.731 0.269 0.872
```

=====

# Cr2RuCl

Cr2RuCl after structural relaxation (PBE, Alexandria via LeMat-Bulk).

As for the symmetry: Imm2, No. 44. The uncorrected formation energy comes out at 538 meV per atom. The calculation puts the volume at 13.663 A^3/atom.

```
Cr2RuCl
1.0
-1.425 2.152 4.455
1.425 -2.152 4.455
1.425 2.152 -4.455
Cr Ru Cl
2 1 1
Direct
0.000 0.000 0.000
0.716 0.216 0.500
0.259 0.759 0.500
0.498 0.498 0.000
```

=====

# BaIrRh

BaIrRh after structural relaxation (PBE, Alexandria via LeMat-Bulk).

The calculation puts the energy of formation from the pure elements at 2.2 eV per formula unit. As for the symmetry: F-43m, No. 216. The calculation puts the volume at 25.638 A^3/atom.

```
BaIrRh
1.0
0.000 3.375 3.375
3.375 0.000 3.375
3.375 3.375 0.000
Ba Ir Rh
1 1 1
Direct
0.000 0.000 0.000
0.250 0.250 0.250
0.500 0.500 0.500
```

=====

# Sm5Ho2Tm12

Sm5Ho2Tm12 after structural relaxation (PBE, Alexandria via LeMat-Bulk).

The calculation puts the energy of formation from the pure elements at 5.4 eV per formula unit. As for the symmetry: C2/m, No. 12. The calculation puts the volume at 32.774 A^3/atom.

```
Sm5Ho2Tm12
1.0
8.454 -3.512 0.000
8.454 3.512 0.000
-1.921 0.000 10.487
Sm Ho Tm
5 2 12
Direct
0.000 0.000 0.000
0.224 0.224 0.498
0.251 0.251 0.991
0.749 0.749 0.009
0.776 0.776 0.502
0.271 0.729 0.500
0.729 0.271 0.500
0.026 0.026 0.739
0.094 0.557 0.275
0.120 0.612 0.771
0.388 0.880 0.229
0.443 0.906 0.725
0.461 0.461 0.146
0.539 0.539 0.854
0.557 0.094 0.275
0.612 0.120 0.771
0.880 0.388 0.229
0.906 0.443 0.725
0.974 0.974 0.261
```

=====

# RbGe2F6

RbGe2F6 after structural relaxation (PBE, Alexandria via LeMat-Bulk).

As for the symmetry: C2/c, No. 15. The uncorrected formation energy comes out at -2326 meV per atom. The calculation puts the volume at 18.452 A^3/atom.

```
RbGe2F6
1.0
5.464 -4.617 0.000
5.464 4.617 0.000
-3.036 0.000 6.582
Rb Ge F
2 4 12
Direct
0.062 0.938 0.750
0.938 0.062 0.250
0.230 0.500 0.226
0.500 0.230 0.726
0.500 0.770 0.274
0.770 0.500 0.774
0.030 0.333 0.073
0.079 0.683 0.370
0.317 0.921 0.130
0.333 0.030 0.573
0.337 0.363 0.416
0.363 0.337 0.916
0.637 0.663 0.084
0.663 0.637 0.584
0.667 0.970 0.427
0.683 0.079 0.870
0.921 0.317 0.630
0.970 0.667 0.927
```

=====

# CrTe4Br

CrTe4Br after structural relaxation (PBE, Alexandria via LeMat-Bulk).

As for the symmetry: F-43m, No. 216. The uncorrected formation energy comes out at 494 meV per atom. The calculation puts the volume at 29.859 A^3/atom.

```
CrTe4Br
1.0
0.000 4.474 4.474
4.474 0.000 4.474
4.474 4.474 0.000
Cr Te Br
1 4 1
Direct
0.000 0.000 0.000
0.125 0.625 0.625
0.625 0.125 0.625
0.625 0.625 0.125
0.625 0.625 0.625
0.250 0.250 0.250
```

=====

# CdFe3Re

CdFe3Re after structural relaxation (PBE, Alexandria via LeMat-Bulk).

The calculation puts the energy of formation from the pure elements at 6.7 eV per formula unit. As for the symmetry: Pm-3m, No. 221. The calculation puts the volume at 18.534 A^3/atom.

```
CdFe3Re
1.0
4.525 0.000 0.000
0.000 4.525 0.000
0.000 0.000 4.525
Cd Fe Re
1 3 1
Direct
0.000 0.000 0.000
0.000 0.500 0.500
0.500 0.000 0.500
0.500 0.500 0.000
0.500 0.500 0.500
```

=====

# NdDyGaSn

NdDyGaSn after structural relaxation (PBE, Alexandria via LeMat-Bulk).

The calculation puts the energy of formation from the pure elements at -2.8 eV per formula unit. As for the symmetry: Amm2, No. 38. The calculation puts the volume at 27.165 A^3/atom.

```
NdDyGaSn
1.0
4.212 0.000 0.000
0.000 2.271 5.681
0.000 -2.271 5.681
Nd Dy Ga Sn
1 1 1 1
Direct
0.000 0.000 0.000
0.500 0.279 0.279
0.500 0.553 0.553
0.000 0.717 0.717
```

=====

# Dy2ScIn

Dy2ScIn after structural relaxation (PBE, Alexandria via LeMat-Bulk).

The calculation puts the energy of formation from the pure elements at -0.8 eV per formula unit. As for the symmetry: P4/mmm, No. 123. The calculation puts the volume at 27.657 A^3/atom.

```
Dy2ScIn
1.0
3.537 0.000 0.000
0.000 3.537 0.000
0.000 0.000 8.843
Dy Sc In
2 1 1
Direct
0.000 0.000 0.241
0.000 0.000 0.759
0.500 0.500 0.500
0.500 0.500 0.000
```

=====

# RbTlAsP

RbTlAsP after structural relaxation (PBE, Alexandria via LeMat-Bulk).

The calculation puts the energy of formation from the pure elements at -0.1 eV per formula unit. As for the symmetry: P1, No. 1. The calculation puts the volume at 36.681 A^3/atom.

```
RbTlAsP
1.0
4.830 0.000 0.000
0.279 5.283 0.000
1.925 0.536 5.750
Rb Tl As P
1 1 1 1
Direct
0.000 0.000 0.000
0.166 0.364 0.430
0.571 0.554 0.643
0.546 0.532 0.013
```

=====

# DyErMgHg

DyErMgHg after structural relaxation (PBE, Alexandria via LeMat-Bulk).

The calculation puts the energy of formation from the pure elements at -1.1 eV per formula unit. As for the symmetry: P4mm, No. 99. The calculation puts the volume at 26.027 A^3/atom.

```
DyErMgHg
1.0
3.769 0.000 0.000
0.000 3.769 0.000
0.000 0.000 7.329
Dy Er Mg Hg
1 1 1 1
Direct
0.000 0.000 0.000
0.000 0.000 0.509
0.500 0.500 0.257
0.500 0.500 0.751
```

=====

# CaNb3Hg

CaNb3Hg after structural relaxation (PBE, Alexandria via LeMat-Bulk).

The calculation puts the energy of formation from the pure elements at 8.1 eV per formula unit. As for the symmetry: Pm-3m, No. 221. The calculation puts the volume at 27.658 A^3/atom.

```
CaNb3Hg
1.0
5.171 0.000 0.000
0.000 5.171 0.000
0.000 0.000 5.171
Ca Nb Hg
1 3 1
Direct
0.000 0.000 0.000
0.000 0.500 0.500
0.500 0.000 0.500
0.500 0.500 0.000
0.500 0.500 0.500
```

=====

# PrScGaSn

PrScGaSn after structural relaxation (PBE, Alexandria via LeMat-Bulk).

The calculation puts the energy of formation from the pure elements at -1.9 eV per formula unit. As for the symmetry: F-43m, No. 216. The calculation puts the volume at 24.829 A^3/atom.

```
PrScGaSn
1.0
0.000 3.676 3.676
3.676 0.000 3.676
3.676 3.676 0.000
Pr Sc Ga Sn
1 1 1 1
Direct
0.000 0.000 0.000
0.500 0.500 0.500
0.250 0.250 0.250
0.750 0.750 0.750
```

=====

# Pr2Dy3Y2

Pr2Dy3Y2 after structural relaxation (PBE, Alexandria via LeMat-Bulk).

The calculation puts the energy of formation from the pure elements at 0.9 eV per formula unit. As for the symmetry: C2/m, No. 12. The calculation puts the volume at 33.494 A^3/atom.

```
Pr2Dy3Y2
1.0
8.396 -1.768 0.000
8.396 1.768 0.000
-3.880 0.000 7.897
Pr Dy Y
2 3 2
Direct
0.080 0.080 0.203
0.920 0.920 0.797
0.000 0.000 0.500
0.221 0.221 0.647
0.779 0.779 0.353
0.360 0.360 0.094
0.640 0.640 0.906
```

=====

# Ac3PuGe4

Ac3PuGe4 after structural relaxation (PBE, Alexandria via LeMat-Bulk).

The calculation puts the energy of formation from the pure elements at -3.4 eV per formula unit. As for the symmetry: Pmmn, No. 59. The calculation puts the volume at 31.645 A^3/atom.

```
Ac3PuGe4
1.0
6.182 0.000 0.000
0.000 12.885 0.000
0.000 0.000 6.356
Ac Pu Ge
6 2 8
Direct
0.250 0.001 0.219
0.250 0.499 0.219
0.250 0.750 0.685
0.750 0.250 0.315
0.750 0.501 0.781
0.750 0.999 0.781
0.250 0.250 0.754
0.750 0.750 0.246
0.250 0.029 0.708
0.250 0.250 0.229
0.250 0.471 0.708
0.250 0.750 0.181
0.750 0.250 0.819
0.750 0.529 0.292
0.750 0.750 0.771
0.750 0.971 0.292
```

=====

# Er3Co2Si4

Er3Co2Si4 after structural relaxation (PBE, Alexandria via LeMat-Bulk).

As for the symmetry: C2/m, No. 12. The uncorrected formation energy comes out at -779 meV per atom. The calculation puts the volume at 17.292 A^3/atom.

```
Er3Co2Si4
1.0
5.198 -2.009 0.000
5.198 2.009 0.000
-2.237 0.000 7.451
Er Co Si
3 2 4
Direct
0.000 0.000 0.000
0.382 0.382 0.306
0.618 0.618 0.694
0.308 0.308 0.631
0.692 0.692 0.369
0.102 0.102 0.405
0.283 0.283 0.920
0.717 0.717 0.080
0.898 0.898 0.595
```

=====

# Fe2OsPb

Fe2OsPb after structural relaxation (PBE, Alexandria via LeMat-Bulk).

The calculation puts the energy of formation from the pure elements at 2.5 eV per formula unit. As for the symmetry: F-43m, No. 216. The calculation puts the volume at 15.415 A^3/atom.

```
Fe2OsPb
1.0
0.000 3.136 3.136
3.136 0.000 3.136
3.136 3.136 0.000
Fe Os Pb
2 1 1
Direct
0.000 0.000 0.000
0.250 0.250 0.250
0.750 0.750 0.750
0.500 0.500 0.500
```

=====

# BaTeIr2

BaTeIr2 after structural relaxation (PBE, Alexandria via LeMat-Bulk).

As for the symmetry: I4/mmm, No. 139. The uncorrected formation energy comes out at 564 meV per atom. The calculation puts the volume at 22.275 A^3/atom.

```
BaTeIr2
1.0
-2.332 2.332 4.095
2.332 -2.332 4.095
2.332 2.332 -4.095
Ba Te Ir
1 1 2
Direct
0.000 0.000 0.000
0.500 0.500 0.000
0.250 0.750 0.500
0.750 0.250 0.500
```

=====

# BaTl2Hg2Bi2

BaTl2Hg2Bi2 after structural relaxation (PBE, Alexandria via LeMat-Bulk).

The calculation puts the energy of formation from the pure elements at -1.9 eV per formula unit. As for the symmetry: R-3m, No. 166. The calculation puts the volume at 34.491 A^3/atom.

```
BaTl2Hg2Bi2
1.0
2.756 1.591 9.178
-2.756 1.591 9.178
0.000 -3.182 9.178
Ba Tl Hg Bi
1 2 2 2
Direct
0.000 0.000 0.000
0.133 0.133 0.133
0.867 0.867 0.867
0.392 0.392 0.392
0.608 0.608 0.608
0.250 0.250 0.250
0.750 0.750 0.750
```

=====

# BaSr

BaSr after structural relaxation (PBE, Alexandria via LeMat-Bulk).

The calculation puts the energy of formation from the pure elements at 1.6 eV per formula unit. As for the symmetry: I-43m, No. 217. The calculation puts the volume at 135.603 A^3/atom.

```
BaSr
1.0
-6.473 6.473 6.473
6.473 -6.473 6.473
6.473 6.473 -6.473
Ba Sr
4 4
Direct
0.000 0.000 0.400
0.000 0.400 0.000
0.400 0.000 0.000
0.600 0.600 0.600
0.000 0.000 0.780
0.000 0.780 0.000
0.220 0.220 0.220
0.780 0.000 0.000
```

=====

# Ni3IrRh4

Ni3IrRh4 after structural relaxation (PBE, Alexandria via LeMat-Bulk).

The calculation puts the energy of formation from the pure elements at 0.3 eV per formula unit. As for the symmetry: C2/m, No. 12. The calculation puts the volume at 13.175 A^3/atom.

```
Ni3IrRh4
1.0
4.166 -1.882 0.000
4.166 1.882 0.000
-3.430 0.000 6.722
Ni Ir Rh
3 1 4
Direct
0.000 0.000 0.000
0.498 0.498 0.251
0.502 0.502 0.749
0.000 0.000 0.500
0.246 0.246 0.371
0.253 0.253 0.879
0.747 0.747 0.121
0.754 0.754 0.629
```

=====

# Ho2Zr3PaN6

Ho2Zr3PaN6 after structural relaxation (PBE, Alexandria via LeMat-Bulk).

As for the symmetry: C2/m, No. 12. The uncorrected formation energy comes out at -1724 meV per atom. The calculation puts the volume at 13.402 A^3/atom.

```
Ho2Zr3PaN6
1.0
2.900 -5.035 0.000
2.900 5.035 0.000
-1.915 0.000 5.507
Ho Zr Pa N
2 3 1 6
Direct
0.167 0.833 0.000
0.833 0.167 0.000
0.000 0.000 0.500
0.329 0.671 0.500
0.671 0.329 0.500
0.500 0.500 0.000
0.086 0.413 0.740
0.260 0.260 0.258
0.413 0.086 0.740
0.587 0.914 0.260
0.740 0.740 0.742
0.914 0.587 0.260
```

=====

# NdDy2Sb

NdDy2Sb after structural relaxation (PBE, Alexandria via LeMat-Bulk).

As for the symmetry: R-3m, No. 166. The uncorrected formation energy comes out at -331 meV per atom. The calculation puts the volume at 33.415 A^3/atom.

```
NdDy2Sb
1.0
1.988 1.148 9.760
-1.988 1.148 9.760
0.000 -2.296 9.760
Nd Dy Sb
1 2 1
Direct
0.000 0.000 0.000
0.233 0.233 0.233
0.767 0.767 0.767
0.500 0.500 0.500
```

=====

VASP energy, respectively: -31.91 -66.78 -145.50 -28.22 -15.98 -81.01 -84.73 -20.90 -32.07 -19.20 -19.12 -13.51 -12.17 -24.38 -20.09 -35.41 -97.11 -56.61 -29.36 -20.53 -16.91 -7.86 -55.30 -114.94 -19.42 eV for the cell shown.